1.
! ZnAsPb | Alexandria | SCAN | single point on PBEsol structure; values from VASP
&SYSTEM
  ibrav = 0, nat = 3, ntyp = 3
/
ATOMIC_SPECIES
Zn 65.41 Zn.upf
As 74.92 As.upf
Pb 207.20 Pb.upf
CELL_PARAMETERS angstrom
0.0000 3.3905 3.3905
3.3905 0.0000 3.3905
3.3905 3.3905 0.0000
ATOMIC_POSITIONS angstrom
Zn 0.0000 0.0000 0.0000
As 3.3905 3.3905 3.3905
Pb 1.6953 1.6953 1.6953
! Total magnetization: 0.00 μB per cell
! Density of states at the Fermi level: 2.0 states/eV per cell
! Crystal system: cubic
! Calculated volume: 78.0 Å³/cell
! Symmetry: F-43m
! Energy of formation from the pure elements: 1.31 eV per formula unit

2.
! ZrAsPb2 | Alexandria | SCAN | single point on PBEsol structure; values from VASP
&SYSTEM
  ibrav = 0, nat = 4, ntyp = 3
/
ATOMIC_SPECIES
Zr 91.22 Zr.upf
As 74.92 As.upf
Pb 207.20 Pb.upf
CELL_PARAMETERS angstrom
2.0237 -2.6191 0.0000
2.0237 2.6191 0.0000
0.0000 0.0000 8.9020
ATOMIC_POSITIONS angstrom
Zr 0.0000 0.0000 0.0000
As 0.0000 0.0000 4.4510
Pb 2.0237 0.0000 2.2547
Pb 2.0237 0.0000 6.6473
! Total magnetization: 0.00 μB per cell
! Density of states at the Fermi level: 2.2 states/eV per cell
! Crystal system: orthorhombic
! Calculated volume: 94.4 Å³/cell
! Symmetry: Cmmm
! Energy of formation from the pure elements: 0.52 eV per formula unit

3.
! ZrAsPb | Alexandria | SCAN | single point on PBEsol structure; values from VASP
&SYSTEM
  ibrav = 0, nat = 3, ntyp = 3
/
ATOMIC_SPECIES
Zr 91.22 Zr.upf
As 74.92 As.upf
Pb 207.20 Pb.upf
CELL_PARAMETERS angstrom
4.5510 0.0000 0.0000
-2.2755 3.9413 0.0000
0.0000 0.0000 3.9201
ATOMIC_POSITIONS angstrom
Zr 0.0000 0.0000 0.0000
As 2.2755 1.3138 0.0000
Pb 0.0000 2.6275 1.9601
! Total magnetization: 0.00 μB per cell
! Density of states at the Fermi level: 2.3 states/eV per cell
! Crystal system: hexagonal
! Calculated volume: 70.3 Å³/cell
! Symmetry: P-6m2
! Energy of formation from the pure elements: -0.88 eV per formula unit

4.
! ZrAsPb | Alexandria | SCAN | single point on PBEsol structure; values from VASP
&SYSTEM
  ibrav = 0, nat = 3, ntyp = 3
/
ATOMIC_SPECIES
Zr 91.22 Zr.upf
As 74.92 As.upf
Pb 207.20 Pb.upf
CELL_PARAMETERS angstrom
0.0000 3.3270 3.3270
3.3270 0.0000 3.3270
3.3270 3.3270 0.0000
ATOMIC_POSITIONS angstrom
Zr 0.0000 0.0000 0.0000
As 1.6635 1.6635 1.6635
Pb 3.3270 3.3270 3.3270
! Total magnetization: 0.00 μB per cell
! Density of states at the Fermi level: 2.2 states/eV per cell
! Crystal system: cubic
! Calculated volume: 73.7 Å³/cell
! Symmetry: F-43m
! Energy of formation from the pure elements: -0.13 eV per formula unit

5.
! Zr3AsPb | Alexandria | SCAN | single point on PBEsol structure; values from VASP
&SYSTEM
  ibrav = 0, nat = 5, ntyp = 3
/
ATOMIC_SPECIES
Zr 91.22 Zr.upf
As 74.92 As.upf
Pb 207.20 Pb.upf
CELL_PARAMETERS angstrom
4.9690 0.0000 0.0000
0.0000 4.9690 0.0000
0.0000 0.0000 4.9690
ATOMIC_POSITIONS angstrom
Zr 0.0000 0.0000 2.4845
Zr 0.0000 2.4845 0.0000
Zr 2.4845 0.0000 0.0000
As 0.0000 0.0000 0.0000
Pb 2.4845 2.4845 2.4845
! Total magnetization: 0.00 μB per cell
! Density of states at the Fermi level: 5.0 states/eV per cell
! Crystal system: cubic
! Calculated volume: 122.7 Å³/cell
! Symmetry: Pm-3m
! Energy of formation from the pure elements: -0.83 eV per formula unit

6.
! Zr3AsPb | Alexandria | SCAN | single point on PBEsol structure; values from VASP
&SYSTEM
  ibrav = 0, nat = 5, ntyp = 3
/
ATOMIC_SPECIES
Zr 91.22 Zr.upf
As 74.92 As.upf
Pb 207.20 Pb.upf
CELL_PARAMETERS angstrom
5.2757 0.0000 0.0000
0.0000 5.2757 0.0000
0.0000 0.0000 5.2757
ATOMIC_POSITIONS angstrom
Zr 0.0000 0.0000 2.6379
Zr 0.0000 2.6379 0.0000
Zr 2.6379 0.0000 0.0000
As 2.6379 2.6379 2.6379
Pb 0.0000 0.0000 0.0000
! Total magnetization: 0.00 μB per cell
! Density of states at the Fermi level: 7.2 states/eV per cell
! Crystal system: cubic
! Calculated volume: 146.8 Å³/cell
! Symmetry: Pm-3m
! Energy of formation from the pure elements: 5.31 eV per formula unit

7.
! AsPd5 | Alexandria | SCAN | single point on PBEsol structure; values from VASP
&SYSTEM
  ibrav = 0, nat = 12, ntyp = 2
/
ATOMIC_SPECIES
As 74.92 As.upf
Pd 106.42 Pd.upf
CELL_PARAMETERS angstrom
2.7567 -3.8321 0.0000
2.7567 3.8321 0.0000
-1.1915 0.0000 8.3315
ATOMIC_POSITIONS angstrom
As 1.0121 0.0000 1.7570
As 3.3097 0.0000 6.5745
Pd 2.7567 2.4061 0.0000
Pd 2.1785 1.9989 2.7188
Pd 0.8134 0.0000 4.2282
Pd 2.1434 1.9989 5.6127
Pd 0.9136 0.0000 7.1047
Pd 3.4083 0.0000 1.2268
Pd 2.1785 -1.9989 2.7188
Pd 3.5085 0.0000 4.1033
Pd 2.1434 -1.9989 5.6127
Pd 2.7567 -2.4061 0.0000
! Total magnetization: 0.00 μB per cell
! Density of states at the Fermi level: 6.1 states/eV per cell
! Crystal system: monoclinic
! Calculated volume: 176.0 Å³/cell
! Symmetry: C2/m
! Energy of formation from the pure elements: -1.90 eV per formula unit

8.
! AsPd2 | Alexandria | SCAN | single point on PBEsol structure; values from VASP
&SYSTEM
  ibrav = 0, nat = 9, ntyp = 2
/
ATOMIC_SPECIES
As 74.92 As.upf
Pd 106.42 Pd.upf
CELL_PARAMETERS angstrom
6.6459 0.0000 0.0000
-3.3230 5.7556 0.0000
0.0000 0.0000 3.5820
ATOMIC_POSITIONS angstrom
As 0.0000 0.0000 0.0000
As 0.0000 3.8370 1.7910
As 3.3230 1.9185 1.7910
Pd -0.8852 1.5332 1.7910
Pd -2.0197 3.4982 0.0000
Pd 1.7704 0.0000 1.7910
Pd 1.3033 2.2574 0.0000
Pd 4.0393 0.0000 0.0000
Pd 2.4378 4.2224 1.7910
! Total magnetization: 0.00 μB per cell
! Density of states at the Fermi level: 5.0 states/eV per cell
! Crystal system: hexagonal
! Calculated volume: 137.0 Å³/cell
! Symmetry: P-62m
! Energy of formation from the pure elements: -1.30 eV per formula unit

9.
! AsPd2 | Alexandria | SCAN | single point on PBEsol structure; values from VASP
&SYSTEM
  ibrav = 0, nat = 12, ntyp = 2
/
ATOMIC_SPECIES
As 74.92 As.upf
Pd 106.42 Pd.upf
CELL_PARAMETERS angstrom
1.6091 -8.4911 0.0000
1.6091 8.4911 0.0000
0.0000 0.0000 6.6225
ATOMIC_POSITIONS angstrom
As 1.6091 7.4975 3.3113
As 1.6091 3.4982 3.1109
As 1.6091 -3.4982 6.4221
As 1.6091 -7.4975 0.0000
Pd 1.6091 7.0277 5.7605
Pd 1.6091 5.5851 1.6066
Pd 1.6091 2.9773 0.6384
Pd 1.6091 0.6057 4.6355
Pd 1.6091 -0.6057 1.3242
Pd 1.6091 -2.9773 3.9496
Pd 1.6091 -5.5851 4.9179
Pd 1.6091 -7.0277 2.4492
! Total magnetization: 0.00 μB per cell
! Density of states at the Fermi level: 3.3 states/eV per cell
! Crystal system: orthorhombic
! Calculated volume: 181.0 Å³/cell
! Symmetry: Cmc2_1
! Energy of formation from the pure elements: -1.34 eV per formula unit

10.
! AsPd3 | Alexandria | SCAN | single point on PBEsol structure; values from VASP
&SYSTEM
  ibrav = 0, nat = 16, ntyp = 2
/
ATOMIC_SPECIES
As 74.92 As.upf
Pd 106.42 Pd.upf
CELL_PARAMETERS angstrom
-4.9754 4.9754 2.4091
4.9754 -4.9754 2.4091
4.9754 4.9754 -2.4091
ATOMIC_POSITIONS angstrom
As 7.1369 0.4419 -0.1037
As 0.4419 2.8140 0.1037
As 4.5335 2.1614 2.5129
As -2.1614 4.5335 2.3054
Pd 6.6978 2.7831 -1.1738
Pd 4.6587 1.3427 0.1108
Pd 3.8612 4.2205 -1.1488
Pd 1.1143 0.7549 1.2604
Pd 3.6328 -0.3168 2.2984
Pd -1.7223 2.1923 1.2353
Pd 1.3427 5.2922 -0.1108
Pd 2.7831 3.2531 1.1738
Pd 5.7303 3.8612 1.1488
Pd -0.7549 1.1143 3.5579
Pd 0.3168 3.6328 2.5199
Pd 2.1923 1.7223 3.5829
! Total magnetization: 0.00 μB per cell
! Density of states at the Fermi level: 5.8 states/eV per cell
! Crystal system: tetragonal
! Calculated volume: 238.6 Å³/cell
! Symmetry: I-4
! Energy of formation from the pure elements: -1.74 eV per formula unit

11.
! As2Pd | Alexandria | SCAN | single point on PBEsol structure; values from VASP
&SYSTEM
  ibrav = 0, nat = 12, ntyp = 2
/
ATOMIC_SPECIES
As 74.92 As.upf
Pd 106.42 Pd.upf
CELL_PARAMETERS angstrom
5.9843 0.0000 0.0000
0.0000 5.9843 0.0000
0.0000 0.0000 5.9843
ATOMIC_POSITIONS angstrom
As 0.7038 0.7038 0.7038
As 0.7038 2.2883 3.6960
As 2.2883 3.6960 0.7038
As 2.2883 5.2805 3.6960
As 3.6960 0.7038 2.2883
As 3.6960 2.2883 5.2805
As 5.2805 3.6960 2.2883
As 5.2805 5.2805 5.2805
Pd 0.0000 0.0000 2.9922
Pd 0.0000 2.9922 0.0000
Pd 2.9922 0.0000 0.0000
Pd 2.9922 2.9922 2.9922
! Total magnetization: 0.00 μB per cell
! Density of states at the Fermi level: 2.1 states/eV per cell
! Crystal system: cubic
! Calculated volume: 214.3 Å³/cell
! Symmetry: Pa-3
! Energy of formation from the pure elements: -1.22 eV per formula unit

12.
! AsPdPt2 | Alexandria | SCAN | single point on PBEsol structure; values from VASP
&SYSTEM
  ibrav = 0, nat = 8, ntyp = 3
/
ATOMIC_SPECIES
As 74.92 As.upf
Pd 106.42 Pd.upf
Pt 195.08 Pt.upf
CELL_PARAMETERS angstrom
-3.5197 3.5197 2.5885
3.5197 -3.5197 2.5885
3.5197 3.5197 -2.5885
ATOMIC_POSITIONS angstrom
As 0.0000 0.0000 0.0000
As 0.0000 3.5197 1.2943
Pd 3.5197 0.0000 1.2943
Pd 0.0000 0.0000 2.5885
Pt 5.2796 1.5269 -0.6471
Pt 1.5269 1.7599 0.6471
Pt -1.7599 1.9929 1.9414
Pt 1.9929 1.7599 3.2356
! Total magnetization: 0.00 μB per cell
! Density of states at the Fermi level: 4.1 states/eV per cell
! Crystal system: tetragonal
! Calculated volume: 128.3 Å³/cell
! Symmetry: I-42d
! Energy of formation from the pure elements: -1.02 eV per formula unit

13.
! AsPd3Pt | Alexandria | SCAN | single point on PBEsol structure; values from VASP
&SYSTEM
  ibrav = 0, nat = 5, ntyp = 3
/
ATOMIC_SPECIES
As 74.92 As.upf
Pd 106.42 Pd.upf
Pt 195.08 Pt.upf
CELL_PARAMETERS angstrom
4.4960 0.0000 0.0000
0.0000 4.4960 0.0000
0.0000 0.0000 4.4960
ATOMIC_POSITIONS angstrom
As 0.0000 0.0000 0.0000
Pd 0.0000 0.0000 2.2480
Pd 0.0000 2.2480 0.0000
Pd 2.2480 0.0000 0.0000
Pt 2.2480 2.2480 2.2480
! Total magnetization: 0.00 μB per cell
! Density of states at the Fermi level: 6.3 states/eV per cell
! Crystal system: cubic
! Calculated volume: 90.9 Å³/cell
! Symmetry: Pm-3m
! Energy of formation from the pure elements: 2.26 eV per formula unit